No. 1
Entry from Alexandria: a geometry-optimized K2CrIn structure (PBEsol).

The calculation puts the density of states at the Fermi level at 2.1 states/eV/cell. Its formation energy is 0.74 eV per atom. The total magnetization comes out at 1.2013 μB/atom.

It has space group P4/mmm (No. 123), with a = 4.618 Å, b = 4.618 Å, c = 6.306 Å, α = 90.00°, β = 90.00° and γ = 90.00°. The inequivalent atoms are K at (0.000, 0.000, 0.249), Cr at (0.500, 0.500, 0.000) and In at (0.500, 0.500, 0.500).

---

No. 2
Entry from Alexandria: a geometry-optimized BaMnTc structure (PBEsol).

The calculation puts the density of states at the Fermi level at 17.6 states/eV/cell. Its formation energy is 2.20 eV per atom. The total magnetization comes out at 1.8718 μB/atom. The value obtained for the energy above the lowest structure with this stoichiometry is 187.2 kJ/mol of formula units.

It has space group F-43m (No. 216), with a = 6.585 Å, b = 6.585 Å, c = 6.585 Å, α = 90.00°, β = 90.00° and γ = 90.00°. The inequivalent atoms are Ba at (0.000, 0.000, 0.000), Mn at (0.250, 0.250, 0.750) and Tc at (0.250, 0.250, 0.250).

---

No. 3
Entry from Alexandria: a geometry-optimized ScBe3O structure (PBEsol).

The calculation puts the density of states at the Fermi level at 1.2 states/eV/cell. As for the raw formation energy: -0.11 eV per atom. The total magnetization comes out at 0.0001 μB/atom.

It has space group Pm-3m (No. 221), with a = 3.807 Å, b = 3.807 Å, c = 3.807 Å, α = 90.00°, β = 90.00° and γ = 90.00°. The inequivalent atoms are Sc at (0.000, 0.000, 0.000), Be at (0.000, 0.500, 0.500) and O at (0.500, 0.500, 0.500).

---

No. 4
Entry from Alexandria: a geometry-optimized HfSeBr2N structure (PBEsol).

The calculation puts the density of states at the Fermi level at 4.4 states/eV/cell. As for the raw formation energy: 0.70 eV per atom. The total magnetization comes out at 0.0981 μB/atom. The value obtained for the energy above the lowest structure with this stoichiometry is 227.2 kJ/mol of formula units.

It has space group P4/mmm (No. 123), with a = 4.448 Å, b = 4.448 Å, c = 4.519 Å, α = 90.00°, β = 90.00° and γ = 90.00°. The inequivalent atoms are Hf at (0.000, 0.000, 0.000), Se at (0.500, 0.500, 0.000), Br at (0.000, 0.500, 0.500) and N at (0.500, 0.500, 0.500).

---

No. 5
Entry from Alexandria: a geometry-optimized Mg7In6 structure (PBEsol).

The calculation puts the density of states at the Fermi level at 19.9 states/eV/cell. Its formation energy is -0.01 eV per atom. The total magnetization comes out at 0.0001 μB/atom.

It has space group R-3m (No. 166, hexagonal axes), with a = 5.8969 Å, b = 5.8969 Å, c = 30.4736 Å, α = 90.00°, β = 90.00° and γ = 120.00°. The inequivalent atoms are Mg at (0.0000, 0.0000, 0.0000), Mg at (0.0015, 0.5007, 0.4141), In at (0.0000, 0.0000, 0.1669), In at (0.0000, 0.0000, 0.3453) and In at (0.0000, 0.0000, 0.4510).

---

No. 6
Entry from Alexandria: a geometry-optimized MgTl3Si structure (PBEsol).

The calculation puts the density of states at the Fermi level at 3.1 states/eV/cell. As for the raw formation energy: 0.73 eV per atom. The total magnetization comes out at 0.0001 μB/atom.

It has space group Pm-3m (No. 221), with a = 5.337 Å, b = 5.337 Å, c = 5.337 Å, α = 90.00°, β = 90.00° and γ = 90.00°. The inequivalent atoms are Mg at (0.000, 0.000, 0.000), Tl at (0.000, 0.000, 0.500) and Si at (0.500, 0.500, 0.500).

---

No. 7
Entry from Alexandria: a geometry-optimized LiTa2Pt structure (PBEsol).

The calculation puts the density of states at the Fermi level at 11.7 states/eV/cell. Its formation energy is -0.03 eV per atom. The total magnetization comes out at 0.0000 μB/atom.

It has space group R3m (No. 160, hexagonal axes), with a = 2.8181 Å, b = 2.8181 Å, c = 28.8463 Å, α = 90.00°, β = 90.00° and γ = 120.00°. The inequivalent atoms are Li at (0.0000, 0.0000, 0.0000), Ta at (0.0000, 0.0000, 0.5132), Ta at (0.0000, 0.0000, 0.7572) and Pt at (0.0000, 0.0000, 0.2574).

---

No. 8
Entry from Alexandria: a geometry-optimized MgCoNi2Se structure (PBEsol).

The calculation puts the density of states at the Fermi level at 4.6 states/eV/cell. As for the raw formation energy: 0.26 eV per atom. The total magnetization comes out at 0.2264 μB/atom.

It has space group P4/mmm (No. 123), with a = 4.288 Å, b = 4.288 Å, c = 4.273 Å, α = 90.00°, β = 90.00° and γ = 90.00°. The inequivalent atoms are Mg at (0.000, 0.000, 0.000), Co at (0.500, 0.500, 0.000), Ni at (0.000, 0.500, 0.500) and Se at (0.500, 0.500, 0.500).

---

The lowest total magnetization belongs to which entry?
LiTa2Pt